Record 1
First-principles (PBE) data for a relaxed Th3Si2Pd crystal, as listed in the Alexandria database.

Values from the calculation:
Energy (eV per atom): -7.100
Magnetization (μB/atom): 0.0000
Formation energy without anion corrections (kJ/mol of atoms): -69.2
ρ (g/cm3): 9.7

a = 12.0090 Å, b = 4.2534 Å, c = 11.5239 Å
α = 90.00°, β = 90.00°, γ = 90.00°
Closest atoms and distances in Å follow each position.
Space group Pnma (No. 62)
Symmetry-distinct sites (fractional):
Th1 0.0494 0.2500 0.1219  5 Si 3.05-3.21, 1 Pd 3.06
Th2 0.1248 0.7500 0.5644  3 Pd 3.06-3.16, 5 Si 3.09-3.17
Th3 0.2104 0.2500 0.7948  2 Pd 2.99, 4 Si 3.02-3.25
Si1 0.0195 0.7500 0.3122  2 Pd 2.61
Si2 0.1900 0.7500 0.0019  1 Pd 2.61
Pd1 0.1310 0.2500 0.3731  3 Si 2.61

=====

Record 2
First-principles (PBE) data for a relaxed BaAl2SiF crystal, as listed in the Alexandria database.

Values from the calculation:
Energy (eV per atom): -3.758
Magnetization (μB/atom): 0.0000
Formation energy without anion corrections (kJ/mol of atoms): -40.2
ρ (g/cm3): 2.9

a = 4.6376 Å, b = 4.6376 Å, c = 6.3736 Å
α = 90.00°, β = 90.00°, γ = 90.00°
Closest atoms and distances in Å follow each position.
Space group P4/mmm (No. 123)
Symmetry-distinct sites (fractional):
Ba1 0.0000 0.0000 0.0000  4 F 3.28
Al1 0.0000 0.5000 0.5000  2 Si 2.32
Si1 0.5000 0.5000 0.5000  4 Al 2.32
F1 0.5000 0.5000 0.0000  2 Si 3.19, 4 Ba 3.28